Arrangement 1

Compound: NiHgSe
Source: Alexandria via LeMat-Bulk
Functional: PBE
Structure: optimized geometry

a b c (Å): 3.485 3.485 5.704
angles (deg): 90.00 90.00 120.00
Atoms (fractional coordinates):
Ni 0.000 0.000 0.000
Hg 0.667 0.333 0.663
Se 0.333 0.667 0.205

Computed properties:
* total magnetic moment: 0.0 Bohr magnetons per cell
* crystal system: trigonal

***

Arrangement 2

Compound: NiHgSe
Source: Alexandria via LeMat-Bulk
Functional: PBE
Structure: optimized geometry

a b c (Å): 6.608 6.217 6.514
angles (deg): 90.00 116.74 90.00
Atoms (fractional coordinates):
Ni 0.184 0.041 0.204
Ni 0.184 0.459 0.704
Ni 0.816 0.541 0.296
Ni 0.816 0.959 0.796
Hg 0.369 0.659 0.122
Hg 0.369 0.841 0.622
Hg 0.631 0.159 0.378
Hg 0.631 0.341 0.878
Se 0.152 0.118 0.845
Se 0.152 0.382 0.345
Se 0.848 0.618 0.655
Se 0.848 0.882 0.155

Computed properties:
* total magnetic moment: 0.0 Bohr magnetons per cell
* crystal system: monoclinic

***

Last place for stability: arrangement 1

***

Arrangement 1

Compound: NiHgSe
Source: Alexandria via LeMat-Bulk
Functional: PBE
Structure: optimized geometry

a b c (Å): 6.531 6.531 6.033
angles (deg): 111.30 111.30 31.78
Atoms (fractional coordinates):
Ni 0.000 0.000 0.000
Ni 0.500 0.500 0.500
Hg 0.154 0.154 0.471
Hg 0.846 0.846 0.529
Se 0.402 0.402 0.091
Se 0.598 0.598 0.909

Computed properties:
* total magnetic moment: 0.0 Bohr magnetons per cell
* crystal system: monoclinic

***

Arrangement 2

Compound: NiHgSe
Source: Alexandria via LeMat-Bulk
Functional: PBE
Structure: optimized geometry

a b c (Å): 4.355 4.355 4.355
angles (deg): 60.00 60.00 60.00
Atoms (fractional coordinates):
Ni 0.000 0.000 0.000
Hg 0.750 0.750 0.750
Se 0.250 0.250 0.250

Computed properties:
* total magnetic moment: 0.0 Bohr magnetons per cell
* crystal system: cubic

***

Arrangement 3

Compound: NiHgSe
Source: Alexandria via LeMat-Bulk
Functional: PBE
Structure: optimized geometry

a b c (Å): 3.163 3.163 7.214
angles (deg): 102.31 102.31 89.99
Atoms (fractional coordinates):
Ni 0.000 0.000 0.000
Hg 0.201 0.201 0.398
Se 0.442 0.442 0.880

Computed properties:
* total magnetic moment: 0.0 Bohr magnetons per cell
* crystal system: monoclinic

***

Last place for stability: arrangement 2

***

Arrangement 1

Compound: Ni2HgSe2
Source: Alexandria via LeMat-Bulk
Functional: PBE
Structure: optimized geometry

a b c (Å): 6.943 6.943 6.943
angles (deg): 142.67 142.67 53.83
Atoms (fractional coordinates):
Ni 0.185 0.185 0.000
Ni 0.815 0.815 0.000
Hg 0.500 0.500 0.000
Se 0.250 0.750 0.500
Se 0.750 0.250 0.500

Computed properties:
* total magnetic moment: 0.0 Bohr magnetons per cell
* crystal system: tetragonal

***

Arrangement 2

Compound: Ni2HgSe2
Source: Alexandria via LeMat-Bulk
Functional: PBE
Structure: optimized geometry

a b c (Å): 8.036 8.036 8.036
angles (deg): 152.53 152.53 39.24
Atoms (fractional coordinates):
Ni 0.250 0.750 0.500
Ni 0.750 0.250 0.500
Hg 0.000 0.000 0.000
Se 0.340 0.340 0.000
Se 0.660 0.660 0.000

Computed properties:
* total magnetic moment: 0.0 Bohr magnetons per cell
* crystal system: tetragonal

***

Last place for stability: arrangement 1

***

Arrangement 1

Compound: SiNi3Hg
Source: Alexandria via LeMat-Bulk
Functional: PBE
Structure: optimized geometry

a b c (Å): 4.248 4.248 4.248
angles (deg): 90.00 90.00 90.00
Atoms (fractional coordinates):
Si 0.000 0.000 0.000
Ni 0.000 0.000 0.500
Ni 0.000 0.500 0.000
Ni 0.500 0.000 0.000
Hg 0.500 0.500 0.500

Computed properties:
* total magnetic moment: 0.0 Bohr magnetons per cell
* crystal system: cubic

***

Arrangement 2

Compound: SiNi3Hg
Source: Alexandria via LeMat-Bulk
Functional: PBE
Structure: optimized geometry

a b c (Å): 4.697 4.697 4.697
angles (deg): 90.00 90.00 90.00
Atoms (fractional coordinates):
Si 0.000 0.000 0.000
Ni 0.000 0.500 0.500
Ni 0.500 0.000 0.500
Ni 0.500 0.500 0.000
Hg 0.500 0.500 0.500

Computed properties:
* total magnetic moment: 0.9 Bohr magnetons per cell
* crystal system: cubic

***

Last place for stability: arrangement 2

***

Arrangement 1

Compound: Sm8NiHg2
Source: Alexandria via LeMat-Bulk
Functional: PBE
Structure: optimized geometry

a b c (Å): 8.984 8.984 6.328
angles (deg): 103.48 103.48 129.48
Atoms (fractional coordinates):
Sm 0.000 0.000 0.000
Sm 0.080 0.475 0.173
Sm 0.121 0.900 0.503
Sm 0.441 0.663 0.871
Sm 0.475 0.080 0.173
Sm 0.539 0.539 0.386
Sm 0.663 0.441 0.871
Sm 0.900 0.121 0.503
Ni 0.278 0.278 0.878
Hg 0.557 0.994 0.676
Hg 0.994 0.557 0.676

Computed properties:
* total magnetic moment: 0.0 Bohr magnetons per cell
* crystal system: monoclinic

***

Arrangement 2

Compound: Sm8NiHg2
Source: Alexandria via LeMat-Bulk
Functional: PBE
Structure: optimized geometry

a b c (Å): 9.403 9.403 6.921
angles (deg): 100.72 100.72 32.30
Atoms (fractional coordinates):
Sm 0.020 0.020 0.275
Sm 0.203 0.203 0.812
Sm 0.351 0.351 0.532
Sm 0.411 0.411 0.054
Sm 0.589 0.589 0.946
Sm 0.649 0.649 0.468
Sm 0.797 0.797 0.188
Sm 0.980 0.980 0.725
Ni 0.500 0.500 0.500
Hg 0.191 0.191 0.245
Hg 0.809 0.809 0.755

Computed properties:
* total magnetic moment: 0.0 Bohr magnetons per cell
* crystal system: monoclinic

***

Last place for stability: arrangement 1

***

Arrangement 1

Compound: Sm2NiHg
Source: Alexandria via LeMat-Bulk
Functional: PBE
Structure: optimized geometry

a b c (Å): 3.541 3.541 7.628
angles (deg): 90.00 90.00 90.00
Atoms (fractional coordinates):
Sm 0.000 0.000 0.217
Sm 0.000 0.000 0.783
Ni 0.500 0.500 0.000
Hg 0.500 0.500 0.500

Computed properties:
* total magnetic moment: 0.0 Bohr magnetons per cell
* crystal system: tetragonal

***

Arrangement 2

Compound: Sm2NiHg
Source: Alexandria via LeMat-Bulk
Functional: PBE
Structure: optimized geometry

a b c (Å): 7.981 7.981 7.981
angles (deg): 29.31 29.31 29.31
Atoms (fractional coordinates):
Sm 0.000 0.000 0.000
Sm 0.201 0.201 0.201
Ni 0.599 0.599 0.599
Hg 0.434 0.434 0.434

Computed properties:
* total magnetic moment: 0.0 Bohr magnetons per cell
* crystal system: trigonal

***

Last place for stability: arrangement 2

***

Arrangement 1

Compound: Ni2SnHg2
Source: Alexandria via LeMat-Bulk
Functional: PBE
Structure: optimized geometry

a b c (Å): 6.770 6.770 3.875
angles (deg): 90.00 90.00 90.00
Atoms (fractional coordinates):
Ni 0.140 0.360 0.000
Ni 0.360 0.860 0.000
Ni 0.640 0.140 0.000
Ni 0.860 0.640 0.000
Sn 0.000 0.000 0.000
Sn 0.500 0.500 0.000
Hg 0.158 0.658 0.500
Hg 0.342 0.158 0.500
Hg 0.658 0.842 0.500
Hg 0.842 0.342 0.500

Computed properties:
* total magnetic moment: 0.0 Bohr magnetons per cell
* crystal system: tetragonal

***

Arrangement 2

Compound: Ni2SnHg2
Source: Alexandria via LeMat-Bulk
Functional: PBE
Structure: optimized geometry

a b c (Å): 9.093 9.093 9.093
angles (deg): 158.54 158.54 30.53
Atoms (fractional coordinates):
Ni 0.250 0.750 0.500
Ni 0.750 0.250 0.500
Sn 0.000 0.000 0.000
Hg 0.371 0.371 0.000
Hg 0.629 0.629 0.000

Computed properties:
* total magnetic moment: 0.0 Bohr magnetons per cell
* crystal system: tetragonal

***

Arrangement 3

Compound: Ni2SnHg2
Source: Alexandria via LeMat-Bulk
Functional: PBE
Structure: optimized geometry

a b c (Å): 7.854 7.854 2.968
angles (deg): 90.00 90.00 90.00
Atoms (fractional coordinates):
Ni 0.160 0.340 0.000
Ni 0.340 0.840 0.000
Ni 0.660 0.160 0.000
Ni 0.840 0.660 0.000
Sn 0.000 0.000 0.500
Sn 0.500 0.500 0.500
Hg 0.137 0.637 0.500
Hg 0.363 0.137 0.500
Hg 0.637 0.863 0.500
Hg 0.863 0.363 0.500

Computed properties:
* total magnetic moment: 0.0 Bohr magnetons per cell
* crystal system: tetragonal

***

Last place for stability: arrangement 2

***

Arrangement 1

Compound: Ni2SnHg
Source: Alexandria via LeMat-Bulk
Functional: PBE
Structure: optimized geometry

a b c (Å): 4.475 4.475 4.475
angles (deg): 60.00 60.00 60.00
Atoms (fractional coordinates):
Ni 0.250 0.250 0.250
Ni 0.750 0.750 0.750
Sn 0.000 0.000 0.000
Hg 0.500 0.500 0.500

Computed properties:
* total magnetic moment: 0.0 Bohr magnetons per cell
* crystal system: cubic

***

Arrangement 2

Compound: Ni2SnHg
Source: Alexandria via LeMat-Bulk
Functional: PBE
Structure: optimized geometry

a b c (Å): 5.739 5.739 5.739
angles (deg): 104.39 104.39 120.20
Atoms (fractional coordinates):
Ni 0.115 0.625 0.990
Ni 0.375 0.365 0.490
Ni 0.635 0.125 0.010
Ni 0.875 0.885 0.510
Sn 0.000 0.000 0.000
Sn 0.750 0.250 0.500
Hg 0.250 0.750 0.500
Hg 0.500 0.500 0.000

Computed properties:
* total magnetic moment: 0.0 Bohr magnetons per cell
* crystal system: tetragonal

***

Last place for stability: arrangement 2